(1)
PmHCl | PBE-GGA | relaxed

- Energy above the lowest structure with this stoichiometry: 376.1 meV per atom
- Theoretical density: 5.71 g/cm³
- DOS at the Fermi energy: 1.3 states/eV per cell
- Calculated volume: 52.8 Å³/f.u.

Geometry as CIF:
```
data_PmHCl
_chemical_formula_sum 'Pm1 H1 Cl1'
_space_group_name_H-M_alt 'P -6 m 2'
_space_group_IT_number 187
_space_group_name_Hall 'P -6 2'
_cell_length_a 4.1220
_cell_length_b 4.1220
_cell_length_c 3.5886
_cell_angle_alpha 90.00
_cell_angle_beta 90.00
_cell_angle_gamma 120.00
loop_
_atom_site_label
_atom_site_type_symbol
_atom_site_fract_x
_atom_site_fract_y
_atom_site_fract_z
Pm1 Pm 0.0000 0.0000 0.0000
H1 H 0.3333 0.6667 0.0000
Cl1 Cl 0.6667 0.3333 0.5000
```


(2)
SbWSe2 | PBE-GGA | relaxed

- Energy relative to the elements, uncorrected: -0.077 eV/atom
- Theoretical density: 7.59 g/cm³
- DOS at the Fermi energy: 3.2 states/eV per cell
- Calculated volume: 101.4 Å³/f.u.

Geometry as CIF:
```
data_SbWSe2
_chemical_formula_sum 'Sb2 W2 Se4'
_space_group_name_H-M_alt 'P -1'
_space_group_IT_number 2
_space_group_name_Hall '-P 1'
_cell_length_a 5.6593
_cell_length_b 5.7941
_cell_length_c 7.0446
_cell_angle_alpha 95.93
_cell_angle_beta 112.59
_cell_angle_gamma 103.27
loop_
_atom_site_label
_atom_site_type_symbol
_atom_site_fract_x
_atom_site_fract_y
_atom_site_fract_z
Sb1 Sb 0.1450 0.4265 0.2101
W1 W 0.4182 0.7038 0.9883
Se1 Se 0.1793 0.3095 0.6981
Se2 Se 0.4516 0.0737 0.2504
```


(3)
TbThNi10 | PBE-GGA | relaxed

- Theoretical density: 9.76 g/cm³
- DOS at the Fermi energy: 12.7 states/eV per cell
- Calculated volume: 166.4 Å³/f.u.

Geometry as CIF:
```
data_TbThNi10
_chemical_formula_sum 'Tb1 Th1 Ni10'
_space_group_name_H-M_alt 'P m m m'
_space_group_IT_number 47
_space_group_name_Hall '-P 2 2'
_cell_length_a 3.9788
_cell_length_b 4.9190
_cell_length_c 8.5042
_cell_angle_alpha 90.00
_cell_angle_beta 90.00
_cell_angle_gamma 90.00
loop_
_atom_site_label
_atom_site_type_symbol
_atom_site_fract_x
_atom_site_fract_y
_atom_site_fract_z
Tb1 Tb 0.0000 0.0000 0.0000
Th1 Th 0.0000 0.5000 0.5000
Ni1 Ni 0.0000 0.0000 0.3321
Ni2 Ni 0.0000 0.5000 0.1656
Ni3 Ni 0.5000 0.0000 0.5000
Ni4 Ni 0.5000 0.2498 0.2484
Ni5 Ni 0.5000 0.5000 0.0000
```


(4)
Zn4Re | PBE-GGA | relaxed

- Energy above the lowest structure with this stoichiometry: 0.0 meV per atom
- Theoretical density: 9.92 g/cm³
- DOS at the Fermi energy: 3.7 states/eV per cell
- Calculated volume: 75.0 Å³/f.u.

Geometry as CIF:
```
data_Zn4Re
_chemical_formula_sum 'Zn8 Re2'
_space_group_name_H-M_alt 'I 4/m m m'
_space_group_IT_number 139
_space_group_name_Hall '-I 4 2'
_cell_length_a 3.5054
_cell_length_b 3.5054
_cell_length_c 12.2020
_cell_angle_alpha 90.00
_cell_angle_beta 90.00
_cell_angle_gamma 90.00
loop_
_atom_site_label
_atom_site_type_symbol
_atom_site_fract_x
_atom_site_fract_y
_atom_site_fract_z
Zn1 Zn 0.0000 0.0000 0.0962
Zn2 Zn 0.0000 0.5000 0.2500
Re1 Re 0.0000 0.0000 0.5000
```


(5)
Sc3Ag2Pt | PBE-GGA | relaxed

- Energy above the lowest structure with this stoichiometry: 0.0 meV per atom
- Theoretical density: 7.78 g/cm³
- DOS at the Fermi energy: 17.0 states/eV per cell
- Calculated volume: 116.5 Å³/f.u.

Geometry as CIF:
```
data_Sc3Ag2Pt
_chemical_formula_sum 'Sc12 Ag8 Pt4'
_space_group_name_H-M_alt 'C m m m'
_space_group_IT_number 65
_space_group_name_Hall '-C 2 2'
_cell_length_a 4.7444
_cell_length_b 14.3178
_cell_length_c 6.8585
_cell_angle_alpha 90.00
_cell_angle_beta 90.00
_cell_angle_gamma 90.00
loop_
_atom_site_label
_atom_site_type_symbol
_atom_site_fract_x
_atom_site_fract_y
_atom_site_fract_z
Sc1 Sc 0.0000 0.0000 0.2429
Sc2 Sc 0.0000 0.3292 0.2357
Ag1 Ag 0.0000 0.1678 0.5000
Ag2 Ag 0.0000 0.5000 0.0000
Ag3 Ag 0.0000 0.5000 0.5000
Pt1 Pt 0.0000 0.1590 0.0000
```


(6)
YHo3Tm3Se8 | PBE-GGA | relaxed

- Energy relative to the elements, uncorrected: -1.798 eV/atom
- Theoretical density: 7.75 g/cm³
- DOS at the Fermi energy: 18.0 states/eV per cell
- Calculated volume: 368.8 Å³/f.u.

Geometry as CIF:
```
data_YHo3Tm3Se8
_chemical_formula_sum 'Y3 Ho9 Tm9 Se24'
_space_group_name_H-M_alt 'R -3 m'
_space_group_IT_number 166
_space_group_name_Hall '-R 3 2"'
_cell_length_a 8.0466
_cell_length_b 8.0466
_cell_length_c 19.7297
_cell_angle_alpha 90.00
_cell_angle_beta 90.00
_cell_angle_gamma 120.00
loop_
_atom_site_label
_atom_site_type_symbol
_atom_site_fract_x
_atom_site_fract_y
_atom_site_fract_z
Y1 Y 0.0000 0.0000 0.0000
Ho1 Ho 0.0000 0.5000 0.5000
Tm1 Tm 0.0000 0.5000 0.0000
Se1 Se 0.0000 0.0000 0.2512
Se2 Se 0.0090 0.5045 0.2489
```


(7)
CsCdAu2 | PBE-GGA | relaxed

- Theoretical density: 7.94 g/cm³
- DOS at the Fermi energy: 2.7 states/eV per cell
- Calculated volume: 133.6 Å³/f.u.

Geometry as CIF:
```
data_CsCdAu2
_chemical_formula_sum 'Cs2 Cd2 Au4'
_space_group_name_H-M_alt 'P m m n'
_space_group_IT_number 59
_cell_length_a 4.8435
_cell_length_b 8.0376
_cell_length_c 6.8647
_cell_angle_alpha 90.00
_cell_angle_beta 90.00
_cell_angle_gamma 90.00
loop_
_space_group_symop_operation_xyz
'x,y,z'
'-x,-y,-z'
'-x+1/2,-y+1/2,z'
'x+1/2,y+1/2,-z'
'x+1/2,-y,-z'
'-x+1/2,y,z'
'-x,y+1/2,-z'
'x,-y+1/2,z'
loop_
_atom_site_label
_atom_site_type_symbol
_atom_site_fract_x
_atom_site_fract_y
_atom_site_fract_z
Cs1 Cs 0.2500 0.2500 0.1099
Cd1 Cd 0.2500 0.7500 0.3953
Au1 Au 0.2500 0.0683 0.5851
```


Number 1: spin magnetization 0.0 Bohr magnetons per cell, calculated total energy -4.362 eV/atom. Number 2: spin magnetization 0.0 Bohr magnetons per cell, calculated total energy -6.088 eV/atom. Number 3: spin magnetization 2.4 Bohr magnetons per cell, calculated total energy -6.188 eV/atom. Number 4: spin magnetization 1.8 Bohr magnetons per cell, calculated total energy -2.983 eV/atom. Number 5: spin magnetization 0.0 Bohr magnetons per cell, calculated total energy -5.739 eV/atom. Number 6: spin magnetization 0.0 Bohr magnetons per cell, calculated total energy -5.897 eV/atom. Number 7: spin magnetization 0.0 Bohr magnetons per cell, calculated total energy -2.341 eV/atom.